A geometry-optimized PmEr2ThBi4 structure. Source: Alexandria, functional PBE.

## Properties
energy relative to the elements	-76	kJ per mole of atoms
DOS(E_F)	1.80	states/eV/cell
electronic total energy	-5.3947	eV/atom

a b c (Å): 7.802 4.527 7.831
angles (deg): 90.00 109.51 90.00
Space group P2/m (No. 10)
Symmetry-distinct sites (fractional):
Pm  0.000  0.000  0.000
Er  0.500  0.000  0.500
Er  0.500  0.500  0.000
Th  0.000  0.500  0.500
Bi  0.259  0.500  0.253
Bi  0.261  0.000  0.754

***

A geometry-optimized FeH structure. Source: Alexandria, functional PBE.

## Properties
DOS(E_F)	6.98	states/eV/cell
electronic total energy	-5.5797	eV/atom

a b c (Å): 4.772 4.772 4.772
angles (deg): 90.00 90.00 90.00
Space group Pm-3n (No. 223)
Symmetry-distinct sites (fractional):
Fe  0.000  0.250  0.500
H  0.000  0.500  0.250

***

A geometry-optimized PmDyHo2Sb4 structure. Source: Alexandria, functional PBE.

## Properties
uncorrected formation energy	-1133.6	meV per atom
DOS(E_F)	1.09	states/eV/cell
electronic total energy	-5.5083	eV/atom

a b c (Å): 7.627 4.407 7.627
angles (deg): 90.00 109.48 90.00
Space group P2/m (No. 10)
Symmetry-distinct sites (fractional):
Pm  0.000  0.000  0.000
Dy  0.000  0.500  0.500
Ho  0.500  0.000  0.500
Ho  0.500  0.500  0.000
Sb  0.254  0.000  0.748
Sb  0.256  0.500  0.255

***

A geometry-optimized In2MoPt structure. Source: Alexandria, functional PBE.

## Properties
energy relative to the elements	29	kJ per mole of atoms
DOS(E_F)	10.31	states/eV/cell
electronic total energy	-5.2866	eV/atom
offset from the most stable computed form	1.27	eV/f.u.

a b c (Å): 6.719 6.719 6.719
angles (deg): 90.00 90.00 90.00
Space group F-43m (No. 216)
Symmetry-distinct sites (fractional):
In  0.000  0.000  0.000
In  0.250  0.250  0.250
Mo  0.000  0.000  0.500
Pt  0.250  0.250  0.750

***

A geometry-optimized NaPAuS2 structure. Source: Alexandria, functional PBE.

## Properties
uncorrected formation energy	1294.8	meV per atom
DOS(E_F)	5.75	states/eV/cell
electronic total energy	-2.3574	eV/atom
offset from the most stable computed form	4.54	eV/f.u.

a b c (Å): 4.831 4.831 4.894
angles (deg): 90.00 90.00 90.00
Space group P4/mmm (No. 123)
Symmetry-distinct sites (fractional):
Na  0.000  0.000  0.000
P  0.000  0.000  0.500
Au  0.500  0.500  0.500
S  0.000  0.500  0.000